First-principles (PBE-GGA) data for crystalline Ho3GaRh8 at its relaxed geometry, as listed in Alexandria.

```
12
Lattice="2.636 1.522 8.655 -2.636 1.522 8.655 0.000 -3.044 8.655" Properties=species:S:1:pos:R:3 pbc="T T T"
Ho 0.000 0.000 0.000
Ho 0.000 0.000 3.357
Ho 0.000 0.000 16.004
Ga 0.000 0.000 12.806
Rh 0.000 -1.524 5.928
Rh -1.320 0.762 5.928
Rh -1.314 -0.758 10.284
Rh 0.000 0.000 8.109
Rh 1.320 0.762 5.928
Rh 1.314 -0.758 10.284
Rh 0.000 1.517 10.284
Rh 0.000 0.000 21.105
```

SG: R3m
Crystal system: trigonal
Total DFT energy (no corrections): -6.905 eV/atom
ΔH_f (0 K): -0.6070 eV per atom

First-principles (PBE-GGA) data for crystalline Pm2PrNdTm at its relaxed geometry, as listed in Alexandria.

```
10
Lattice="4.245 -5.895 0.000 4.245 5.895 0.000 0.000 0.000 7.227" Properties=species:S:1:pos:R:3 pbc="T T T"
Pm 1.584 0.000 0.000
Pm 1.584 0.000 3.614
Pm 6.905 0.000 0.000
Pm 6.905 0.000 3.614
Pr 4.245 3.159 5.420
Pr 4.245 -3.159 1.807
Nd 4.245 0.052 5.420
Nd 4.245 -0.052 1.807
Tm 4.245 3.230 1.807
Tm 4.245 -3.230 5.420
```

SG: Cmcm
Crystal system: orthorhombic
Total DFT energy (no corrections): -4.317 eV/atom
ΔH_f (0 K): 0.3866 eV per atom